No. 1
26
Lattice="3.6718 4.6551 -0.0018 -3.6718 4.6551 -0.0018 0.0000 1.5209 11.7267" Properties=species:S:1:pos:R:3 comment="In5Si2N6 (GGA-PBE, optimized geometry)" sg="C2/c, No. 15" raw_formation_energy_ev_per_atom=0.03 pbc="T T T"
Si 1.0249 7.8729 4.8907
Si -1.0249 8.6333 10.7541
Si 1.0249 2.1978 0.9691
Si -1.0249 2.9583 6.8324
N 0.9975 3.3667 2.2938
N -0.0451 9.1786 4.4142
N -0.8626 3.4222 5.1061
N -0.9975 4.1272 8.1572
N 0.9975 6.7040 3.5660
N 0.8626 7.4090 6.6171
N -0.0451 0.8921 1.4456
N 0.0451 1.6526 7.3090
N 0.0451 9.9390 10.2775
N -0.9975 7.4644 9.4294
N -0.8626 6.6485 0.7538
N 0.8626 4.1826 10.9694
In -0.4111 1.8757 3.4566
In 1.8237 6.9531 11.6491
In -1.8237 3.8780 0.0741
In 0.4111 2.6361 9.3200
In 1.8237 4.6385 5.9375
In 0.4111 8.9555 8.2665
In 0.3284 5.7958 8.7933
In -1.8237 6.1927 5.7857
In -0.3284 5.0354 2.9299
In -0.4111 8.1950 2.4032

No. 2
5
Lattice="4.8883 0.0000 0.0000 0.0000 4.8883 0.0000 0.0000 0.0000 4.8883" Properties=species:S:1:pos:R:3 comment="Zn3AsW (GGA-PBE, optimized geometry)" e_form_ev_per_atom=1.31 sg="Pm-3m, No. 221" de_polymorph_ev_per_atom=0.0000 pbc="T T T"
Zn 0.0000 2.4442 0.0000
Zn 0.0000 0.0000 2.4442
Zn 2.4442 0.0000 0.0000
W 0.0000 0.0000 0.0000
As 2.4442 2.4442 2.4442

No. 3
4
Lattice="-3.6960 -3.5171 -0.3589 -0.5287 -2.4303 -4.4691 3.8093 1.1072 3.2282" Properties=species:S:1:pos:R:3 comment="AlIr2Se (GGA-PBE, optimized geometry)" sg="I-4m2, No. 119" de_polymorph_ev_per_atom=0.2833 raw_formation_energy_ev_per_atom=0.11 pbc="T T T"
Ir 0.5842 -2.1484 -1.8274
Ir 0.0000 0.0000 0.0000
Al -0.9995 -2.6918 0.2277
Se -2.1123 -2.9737 -2.4140